1.
HfZrNb2Ir at its PBEsol-relaxed geometry, computed with meta-GGA SCAN.

Its formation enthalpy at 0 K is 2.65 eV/f.u. The calculation puts the density at 9.336 g/cm3. The value obtained for the total energy is -45.62 eV per atom. Its density of states at the Fermi level is 1.17 states/eV per atom.

The structure belongs to space group P4/mmm (No. 123); the cell edges are 4.852, 4.852 and 4.895 Å and the angles 90.00°, 90.00° and 90.00°. The asymmetric unit holds Hf at (0.000, 0.000, 0.000), Zr at (0.500, 0.500, 0.000), Nb at (0.000, 0.500, 0.500) and Ir at (0.500, 0.500, 0.500).

2.
Hf2IrRuO at its PBEsol-relaxed geometry, computed with meta-GGA SCAN.

The calculation puts the density at 9.967 g/cm3. The value obtained for the total energy is -46.62 eV per atom. The value obtained for the formation energy (no corrections) is 20.20 kcal/mol of atoms. Its density of states at the Fermi level is 1.01 states/eV per atom.

The structure belongs to space group P4/mmm (No. 123); the cell edges are 4.966, 4.966 and 4.500 Å and the angles 90.00°, 90.00° and 90.00°. The asymmetric unit holds Hf at (0.000, 0.500, 0.000), Ir at (0.000, 0.000, 0.000), Ru at (0.000, 0.000, 0.500) and O at (0.500, 0.500, 0.500).

3.
HfIr3Os at its PBEsol-relaxed geometry, computed with meta-GGA SCAN.

Its formation enthalpy at 0 K is 11.64 eV/f.u. The calculation puts the density at 15.586 g/cm3. The value obtained for the total energy is -67.24 eV per atom. Its density of states at the Fermi level is 1.13 states/eV per atom.

The structure belongs to space group Pm-3m (No. 221); the cell edges are 4.653, 4.653 and 4.653 Å and the angles 90.00°, 90.00° and 90.00°. The asymmetric unit holds Hf at (0.000, 0.000, 0.000), Ir at (0.000, 0.000, 0.500) and Os at (0.500, 0.500, 0.500).

4.
HfP2Ir at its PBEsol-relaxed geometry, computed with meta-GGA SCAN.

Its formation enthalpy at 0 K is -2.06 eV/f.u. The calculation puts the density at 10.616 g/cm3. The value obtained for the total energy is -39.16 eV per atom. Its density of states at the Fermi level is 0.49 states/eV per atom.

The structure belongs to space group I-42d (No. 122); the cell edges are 4.158, 4.158 and 15.659 Å and the angles 90.00°, 90.00° and 90.00°. The asymmetric unit holds Hf at (0.000, 0.000, 0.000), P at (0.193, 0.250, 0.625) and Ir at (0.000, 0.000, 0.500).

5.
HfP2IrW at its PBEsol-relaxed geometry, computed with meta-GGA SCAN.

Its formation enthalpy at 0 K is 8.11 eV/f.u. The calculation puts the density at 9.774 g/cm3. The value obtained for the total energy is -43.23 eV per atom. Its density of states at the Fermi level is 0.88 states/eV per atom.

The structure belongs to space group P4/mmm (No. 123); the cell edges are 4.695, 4.695 and 4.750 Å and the angles 90.00°, 90.00° and 90.00°. The asymmetric unit holds Hf at (0.000, 0.000, 0.000), P at (0.000, 0.500, 0.000), Ir at (0.000, 0.000, 0.500) and W at (0.500, 0.500, 0.500).

6.
Hf3IrPt at its PBEsol-relaxed geometry, computed with meta-GGA SCAN.

Its formation enthalpy at 0 K is 0.55 eV/f.u. The calculation puts the density at 13.200 g/cm3. The value obtained for the relative energy among the computed polymorphs is 0 meV per atom. The value obtained for the total energy is -65.75 eV per atom. Its density of states at the Fermi level is 1.26 states/eV per atom.

The structure belongs to space group Pm-3m (No. 221); the cell edges are 4.878, 4.878 and 4.878 Å and the angles 90.00°, 90.00° and 90.00°. The asymmetric unit holds Hf at (0.000, 0.000, 0.500), Ir at (0.000, 0.000, 0.000) and Pt at (0.500, 0.500, 0.500).

7.
Rb2HfIr at its PBEsol-relaxed geometry, computed with meta-GGA SCAN.

Its formation enthalpy at 0 K is 7.70 eV/f.u. The calculation puts the density at 8.483 g/cm3. The value obtained for the total energy is -41.89 eV per atom. Its density of states at the Fermi level is 0.88 states/eV per atom.

The structure belongs to space group Fm-3m (No. 225); the cell edges are 7.513, 7.513 and 7.513 Å and the angles 90.00°, 90.00° and 90.00°. The asymmetric unit holds Rb at (0.250, 0.250, 0.250), Hf at (0.000, 0.000, 0.000) and Ir at (0.000, 0.000, 0.500).

8.
RbHfIrS2 at its PBEsol-relaxed geometry, computed with meta-GGA SCAN.

The calculation puts the density at 4.961 g/cm3. The value obtained for the total energy is -34.16 eV per atom. The value obtained for the formation energy (no corrections) is 13.77 kcal/mol of atoms. Its density of states at the Fermi level is 1.25 states/eV per atom.

The structure belongs to space group P4/mmm (No. 123); the cell edges are 4.800, 4.800 and 7.560 Å and the angles 90.00°, 90.00° and 90.00°. The asymmetric unit holds Rb at (0.000, 0.000, 0.000), Hf at (0.000, 0.000, 0.500), Ir at (0.500, 0.500, 0.000) and S at (0.000, 0.500, 0.500).

9.
Hf3ReIr at its PBEsol-relaxed geometry, computed with meta-GGA SCAN.

Its formation enthalpy at 0 K is 3.99 eV/f.u. The calculation puts the density at 13.231 g/cm3. The value obtained for the total energy is -65.25 eV per atom. Its density of states at the Fermi level is 0.92 states/eV per atom.

The structure belongs to space group Pm-3m (No. 221); the cell edges are 4.859, 4.859 and 4.859 Å and the angles 90.00°, 90.00° and 90.00°. The asymmetric unit holds Hf at (0.000, 0.000, 0.500), Re at (0.000, 0.000, 0.000) and Ir at (0.500, 0.500, 0.500).

10.
Hf2ReIr at its PBEsol-relaxed geometry, computed with meta-GGA SCAN.

Its formation enthalpy at 0 K is -3.80 eV/f.u. The calculation puts the density at 18.145 g/cm3. The value obtained for the total energy is -67.84 eV per atom. Its density of states at the Fermi level is 0.13 states/eV per atom.

The structure belongs to space group Fm-3m (No. 225); the cell edges are 6.457, 6.457 and 6.457 Å and the angles 90.00°, 90.00° and 90.00°. The asymmetric unit holds Hf at (0.250, 0.250, 0.250), Re at (0.000, 0.000, 0.000) and Ir at (0.000, 0.000, 0.500).

11.
Hf2IrRh at its PBEsol-relaxed geometry, computed with meta-GGA SCAN.

Its formation enthalpy at 0 K is -4.28 eV/f.u. The calculation puts the density at 16.042 g/cm3. The value obtained for the total energy is -58.62 eV per atom. Its density of states at the Fermi level is 0.76 states/eV per atom.

The structure belongs to space group Fm-3m (No. 225); the cell edges are 6.463, 6.463 and 6.463 Å and the angles 90.00°, 90.00° and 90.00°. The asymmetric unit holds Hf at (0.250, 0.250, 0.250), Ir at (0.000, 0.000, 0.000) and Rh at (0.000, 0.000, 0.500).

12.
Hf2IrRu at its PBEsol-relaxed geometry, computed with meta-GGA SCAN.

Its formation enthalpy at 0 K is -4.07 eV/f.u. The calculation puts the density at 16.193 g/cm3. The value obtained for the total energy is -58.84 eV per atom. Its density of states at the Fermi level is 0.70 states/eV per atom.

The structure belongs to space group Fm-3m (No. 225); the cell edges are 6.437, 6.437 and 6.437 Å and the angles 90.00°, 90.00° and 90.00°. The asymmetric unit holds Hf at (0.250, 0.250, 0.250), Ir at (0.000, 0.000, 0.000) and Ru at (0.000, 0.000, 0.500).

13.
HfIrS2 at its PBEsol-relaxed geometry, computed with meta-GGA SCAN.

The calculation puts the density at 9.385 g/cm3. The value obtained for the total energy is -38.55 eV per atom. The value obtained for the formation energy (no corrections) is -6.64 kcal/mol of atoms. Its density of states at the Fermi level is 0.78 states/eV per atom.

The structure belongs to space group R-3m (No. 166, hexagonal axes); the cell edges are 3.4312, 3.4312 and 22.6391 Å and the angles 90.00°, 90.00° and 120.00°. The asymmetric unit holds Hf at (0.0000, 0.0000, 0.0000), Ir at (0.0000, 0.0000, 0.5000) and S at (0.0000, 0.0000, 0.1110).

14.
HfSb2TeIr at its PBEsol-relaxed geometry, computed with meta-GGA SCAN.

The calculation puts the density at 9.278 g/cm3. The value obtained for the total energy is -48.42 eV per atom. The value obtained for the formation energy (no corrections) is 15.91 kcal/mol of atoms. Its density of states at the Fermi level is 1.16 states/eV per atom.

The structure belongs to space group P4/mmm (No. 123); the cell edges are 5.017, 5.017 and 5.275 Å and the angles 90.00°, 90.00° and 90.00°. The asymmetric unit holds Hf at (0.000, 0.000, 0.000), Sb at (0.000, 0.500, 0.500), Te at (0.500, 0.500, 0.000) and Ir at (0.500, 0.500, 0.500).